12
Lattice="0.703 -3.108 2.378 4.791 -2.457 -4.627 4.606 1.528 3.958" Properties=species:S:1:pos:R:3 comment="AlCu5Pt6 GGA-PBE optimized geometry" dos_ef_per_ev_cell=7.6 delta_e_f_ev_per_atom=-0.35 e_tot_ev_per_atom=-5.392 pbc="T T T"
Pt 4.395 -0.109 1.881
Pt 3.314 -2.702 2.139
Pt 5.706 -3.928 -0.171
Pt 6.786 -1.335 -0.429
Pt 1.506 -2.146 0.074
Pt 3.988 -3.419 -2.323
Al 0.000 0.000 0.000
Cu 4.143 -1.771 -0.216
Cu 5.957 -2.266 1.925
Cu 2.396 -1.228 -2.314
Cu 1.811 -0.497 2.140
Cu 3.498 -1.083 4.197

---

4
Lattice="3.730 0.001 -0.007 0.001 3.571 -0.004 -1.874 -1.791 4.043" Properties=species:S:1:pos:R:3 comment="AlCu2Pt GGA-PBE optimized geometry" dos_ef_per_ev_cell=1.4 delta_e_f_ev_per_atom=-0.46 e_tot_ev_per_atom=-4.955 pbc="T T T"
Cu -0.004 -0.003 2.001
Cu 1.861 1.785 2.031
Al 0.000 1.786 -0.002
Pt 1.865 0.000 -0.004

---

10
Lattice="3.079 0.000 0.000 0.000 3.079 0.000 0.000 0.000 14.729" Properties=species:S:1:pos:R:3 comment="AlCu4Pt5 GGA-PBE optimized geometry" dos_ef_per_ev_cell=5.8 delta_e_f_ev_per_atom=-0.35 e_tot_ev_per_atom=-5.381 pbc="T T T"
Cu 0.000 0.000 5.896
Cu 0.000 0.000 8.832
Cu 0.000 0.000 2.999
Cu 0.000 0.000 11.729
Pt 1.540 1.540 7.364
Pt 1.540 1.540 13.278
Pt 1.540 1.540 4.419
Pt 1.540 1.540 1.451
Pt 1.540 1.540 10.310
Al 0.000 0.000 0.000